{"formula": "Rb2BaRuPt", "functional": "PBE", "state": "optimized geometry", "cell": [[7.323, 0.000, 0.000], [0.000, 7.323, 0.000], [0.000, 0.000, 5.482]], "species": ["Rb", "Rb", "Ba", "Ru", "Pt"], "fractional_positions": [[0.000, 0.500, 0.000], [0.500, 0.000, 0.000], [0.000, 0.000, 0.000], [0.500, 0.500, 0.500], [0.000, 0.000, 0.500]], "mass_density_g_cm3": 3.41, "e_form_ev_per_atom": 1.392, "final_energy_ev_per_cell": -12.22, "magnetic_moment_mub_per_atom": 0.436}

{"formula": "KNaAg2", "functional": "PBE", "state": "optimized geometry", "cell": [[2.499, -6.134, 0.000], [2.499, 6.134, 0.000], [0.000, 0.000, 8.306]], "species": ["K", "K", "Na", "Na", "Ag", "Ag", "Ag", "Ag"], "fractional_positions": [[0.069, 0.931, 0.750], [0.931, 0.069, 0.250], [0.354, 0.646, 0.750], [0.646, 0.354, 0.250], [0.245, 0.755, 0.081], [0.245, 0.755, 0.419], [0.755, 0.245, 0.581], [0.755, 0.245, 0.919]], "mass_density_g_cm3": 3.62, "e_form_ev_per_atom": 0.020, "final_energy_ev_per_cell": -16.08, "magnetic_moment_mub_per_atom": 0.000, "relative_energy_mev_per_atom": 0}

{"formula": "Ga2BiOsO8", "functional": "PBE", "state": "optimized geometry", "cell": [[3.303, -3.308, 0.000], [3.303, 3.308, 0.000], [0.000, 0.000, 6.455]], "species": ["Ga", "Ga", "Bi", "Os", "O", "O", "O", "O", "O", "O", "O", "O"], "fractional_positions": [[0.000, 0.000, 0.249], [0.000, 0.000, 0.751], [0.500, 0.500, 0.500], [0.500, 0.500, 0.000], [0.176, 0.824, 0.500], [0.208, 0.792, 0.000], [0.300, 0.300, 0.221], [0.300, 0.300, 0.779], [0.700, 0.700, 0.221], [0.700, 0.700, 0.779], [0.792, 0.208, 0.000], [0.824, 0.176, 0.500]], "mass_density_g_cm3": 7.85, "final_energy_ev_per_cell": -76.15, "magnetic_moment_mub_per_atom": 0.067, "formation_energy_uncorrected_ev_per_atom": -1.28}

{"formula": "Zr2InPd4", "functional": "PBE", "state": "optimized geometry", "cell": [[5.787, 0.000, 0.000], [-1.734, 7.001, 0.000], [-1.685, -3.570, 6.321]], "species": ["Zr", "Zr", "Zr", "Zr", "In", "In", "Pd", "Pd", "Pd", "Pd", "Pd", "Pd", "Pd", "Pd"], "fractional_positions": [[0.000, 0.000, 0.000], [0.139, 0.565, 0.919], [0.463, 0.246, 0.480], [0.632, 0.432, 0.175], [0.484, 0.743, 0.613], [0.937, 0.226, 0.425], [0.058, 0.835, 0.295], [0.158, 0.443, 0.227], [0.224, 0.167, 0.765], [0.479, 0.984, 0.011], [0.557, 0.834, 0.303], [0.637, 0.588, 0.893], [0.735, 0.194, 0.807], [0.972, 0.683, 0.607]], "mass_density_g_cm3": 9.38, "e_form_ev_per_atom": -0.587, "final_energy_ev_per_cell": -89.43, "magnetic_moment_mub_per_atom": 0.000, "relative_energy_mev_per_atom": 0}

{"formula": "RbLaMg3", "functional": "PBE", "state": "optimized geometry", "cell": [[5.735, 0.000, 0.000], [0.000, 5.735, 0.000], [0.000, 0.000, 5.735]], "species": ["Rb", "La", "Mg", "Mg", "Mg"], "fractional_positions": [[0.000, 0.000, 0.000], [0.500, 0.500, 0.500], [0.000, 0.000, 0.500], [0.000, 0.500, 0.000], [0.500, 0.000, 0.000]], "mass_density_g_cm3": 2.62, "e_form_ev_per_atom": 0.915, "final_energy_ev_per_cell": -6.11, "magnetic_moment_mub_per_atom": 0.000, "relative_energy_mev_per_atom": 232}

{"formula": "NdTm12Al3", "functional": "PBE", "state": "optimized geometry", "cell": [[4.739, 0.000, 0.000], [0.000, 4.739, 0.000], [0.000, 0.000, 19.340]], "species": ["Nd", "Tm", "Tm", "Tm", "Tm", "Tm", "Tm", "Tm", "Tm", "Tm", "Tm", "Tm", "Tm", "Al", "Al", "Al"], "fractional_positions": [[0.000, 0.000, 0.000], [0.000, 0.500, 0.137], [0.000, 0.500, 0.379], [0.000, 0.500, 0.621], [0.000, 0.500, 0.863], [0.500, 0.000, 0.137], [0.500, 0.000, 0.379], [0.500, 0.000, 0.621], [0.500, 0.000, 0.863], [0.500, 0.500, 0.000], [0.500, 0.500, 0.259], [0.500, 0.500, 0.500], [0.500, 0.500, 0.741], [0.000, 0.000, 0.259], [0.000, 0.000, 0.500], [0.000, 0.000, 0.741]], "mass_density_g_cm3": 8.61, "e_form_ev_per_atom": -0.125, "final_energy_ev_per_cell": -71.65, "magnetic_moment_mub_per_atom": 0.000}

{"formula": "MnZnPS2", "functional": "PBE", "state": "optimized geometry", "cell": [[4.582, 0.000, 0.000], [0.000, 4.582, 0.000], [0.000, 0.000, 4.392]], "species": ["Mn", "Zn", "P", "S", "S"], "fractional_positions": [[0.000, 0.000, 0.000], [0.500, 0.500, 0.500], [0.000, 0.000, 0.500], [0.000, 0.500, 0.000], [0.500, 0.000, 0.000]], "mass_density_g_cm3": 3.88, "final_energy_ev_per_cell": -22.42, "magnetic_moment_mub_per_atom": 0.462, "relative_energy_mev_per_atom": 0, "formation_energy_uncorrected_ev_per_atom": 0.34}

{"formula": "Te2AsP", "functional": "PBE", "state": "optimized geometry", "cell": [[5.818, 0.000, 0.000], [0.000, 3.271, 0.000], [-1.102, 0.000, 6.030]], "species": ["Te", "Te", "As", "P"], "fractional_positions": [[0.000, 0.000, 0.000], [0.340, 0.500, 0.585], [0.603, 0.000, 0.155], [0.713, 0.500, 0.435]], "mass_density_g_cm3": 5.23, "final_energy_ev_per_cell": -15.80, "magnetic_moment_mub_per_atom": 0.000, "relative_energy_mev_per_atom": 0, "formation_energy_uncorrected_ev_per_atom": 0.14}

{"formula": "LaH2O", "functional": "PBE", "state": "optimized geometry", "cell": [[-1.722, 1.722, 9.363], [1.722, -1.722, 9.363], [1.722, 1.722, -9.363]], "species": ["La", "La", "H", "H", "H", "H", "O", "O"], "fractional_positions": [[0.375, 0.625, 0.750], [0.625, 0.375, 0.250], [0.000, 0.500, 0.500], [0.500, 0.000, 0.000], [0.500, 0.500, 0.000], [0.500, 0.500, 0.500], [0.125, 0.875, 0.250], [0.875, 0.125, 0.750]], "mass_density_g_cm3": 4.69, "final_energy_ev_per_cell": -41.89, "magnetic_moment_mub_per_atom": 0.000, "relative_energy_mev_per_atom": 0}

{"formula": "MoAs2Cl", "functional": "PBE", "state": "optimized geometry", "cell": [[-1.548, 2.062, 7.432], [1.548, -2.062, 7.432], [1.548, 2.062, -7.432]], "species": ["Mo", "As", "As", "Cl"], "fractional_positions": [[0.000, 0.000, 0.000], [0.449, 0.449, 0.000], [0.847, 0.347, 0.500], [0.130, 0.630, 0.500]], "mass_density_g_cm3": 4.92, "final_energy_ev_per_cell": -21.99, "magnetic_moment_mub_per_atom": 0.000, "relative_energy_mev_per_atom": 137, "formation_energy_uncorrected_ev_per_atom": 0.00}

{"formula": "AlRe3", "functional": "PBE", "state": "optimized geometry", "cell": [[2.902, 0.000, 0.000], [0.000, 2.902, 0.000], [0.000, 0.000, 6.947]], "species": ["Al", "Re", "Re", "Re"], "fractional_positions": [[0.000, 0.000, 0.000], [0.000, 0.000, 0.500], [0.500, 0.500, 0.245], [0.500, 0.500, 0.755]], "mass_density_g_cm3": 16.63, "e_form_ev_per_atom": -0.075, "final_energy_ev_per_cell": -41.39, "magnetic_moment_mub_per_atom": 0.000}

{"formula": "RbInGe", "functional": "PBE", "state": "optimized geometry", "cell": [[5.880, 0.000, 0.000], [-0.003, 5.950, 0.000], [-2.749, -2.971, 6.184]], "species": ["Rb", "Rb", "In", "In", "Ge", "Ge"], "fractional_positions": [[0.000, 0.000, 0.000], [0.272, 0.724, 0.446], [0.149, 0.370, 0.739], [0.680, 0.175, 0.347], [0.585, 0.550, 0.099], [0.660, 0.378, 0.756]], "mass_density_g_cm3": 4.19, "e_form_ev_per_atom": 0.052, "final_energy_ev_per_cell": -16.34, "magnetic_moment_mub_per_atom": 0.000}